VASP calculation (GGA+U) on a relaxed K3AgMo2O8 crystal.

Results
E = -5.93 eV/atom

a = 6.162 Å, b = 6.162 Å, c = 7.839 Å
α = 90.00°, β = 90.00°, γ = 120.00°
Fractional positions:
K (0.000, 0.000, 0.000)
K (0.333, 0.667, 0.656)
K (0.667, 0.333, 0.344)
Ag (0.000, 0.000, 0.500)
Mo (0.333, 0.667, 0.210)
Mo (0.667, 0.333, 0.790)
O (0.176, 0.351, 0.294)
O (0.176, 0.824, 0.294)
O (0.333, 0.667, 0.983)
O (0.351, 0.176, 0.706)
O (0.649, 0.824, 0.294)
O (0.667, 0.333, 0.017)
O (0.824, 0.176, 0.706)
O (0.824, 0.649, 0.706)